Entry 1:
# SbSe2Cl | Alexandria via LeMat-Bulk | GGA-PBE | relaxed
# Raw formation energy, meV/atom: -239
# Uncorrected energy, eV/atom: -3.473
# Polymorph energy (0 for the lowest one), eV/atom: 0.0713
data_SbSe2Cl
_space_group_name_H-M_alt 'C 1 m 1'
_space_group_IT_number 8
_space_group_name_Hall 'C -2y'
_cell_length_a 10.440
_cell_length_b 3.954
_cell_length_c 7.450
_cell_angle_alpha 90.00
_cell_angle_beta 113.01
_cell_angle_gamma 90.00
loop_
_atom_site_label
_atom_site_type_symbol
_atom_site_fract_x
_atom_site_fract_y
_atom_site_fract_z
Sb1 Sb 0.000 0.000 0.000
Se1 Se 0.007 0.500 0.281
Se2 Se 0.207 0.500 0.193
Cl1 Cl 0.367 0.000 0.728

***

Entry 2:
# PrTm3Pb3 | Alexandria via LeMat-Bulk | GGA-PBE | relaxed
# Uncorrected energy, eV/atom: -4.682
# Polymorph energy (0 for the lowest one), eV/atom: 0.0000
data_PrTm3Pb3
_space_group_name_H-M_alt 'P 21 3'
_space_group_IT_number 198
_space_group_name_Hall 'P 2ac 2ab 3'
_cell_length_a 9.420
_cell_length_b 9.420
_cell_length_c 9.420
_cell_angle_alpha 90.00
_cell_angle_beta 90.00
_cell_angle_gamma 90.00
loop_
_atom_site_label
_atom_site_type_symbol
_atom_site_fract_x
_atom_site_fract_y
_atom_site_fract_z
Pr1 Pr 0.066 0.434 0.566
Tm1 Tm 0.077 0.577 0.923
Tm2 Tm 0.180 0.820 0.320
Tm3 Tm 0.181 0.181 0.181
Pb1 Pb 0.001 0.260 0.879